Density functional theory data (PBE-GGA) for a geometry-optimized CaAlAg2 structure.

Unit cell a=3.379 b=3.379 c=26.930 alpha=90.00 beta=90.00 gamma=120.00
Fractional coordinates of all 12 atoms:
Ca 0.000 0.000 0.000
Ca 0.333 0.667 0.667
Ca 0.667 0.333 0.333
Al 0.000 0.000 0.761
Al 0.333 0.667 0.428
Al 0.667 0.333 0.095
Ag 0.000 0.000 0.243
Ag 0.000 0.000 0.497
Ag 0.333 0.667 0.163
Ag 0.333 0.667 0.910
Ag 0.667 0.333 0.577
Ag 0.667 0.333 0.830

Values from the calculation:
VASP energy   -2.781 eV/atom
Size of the total moment   0.000 μB per formula unit